[1]
Ta2Cu2O7 after structural relaxation, computed with PBE.

a b c (Å): 7.280 7.280 7.280
angles (deg): 60.00 60.00 60.00
Fractional coordinates of all 22 atoms:
Ta 0.000 0.000 0.000
Ta 0.000 0.000 0.500
Ta 0.000 0.500 0.000
Ta 0.500 0.000 0.000
Cu 0.000 0.500 0.500
Cu 0.500 0.000 0.500
Cu 0.500 0.500 0.000
Cu 0.500 0.500 0.500
O 0.073 0.073 0.677
O 0.073 0.677 0.073
O 0.073 0.677 0.677
O 0.323 0.323 0.927
O 0.323 0.927 0.323
O 0.323 0.927 0.927
O 0.375 0.375 0.375
O 0.625 0.625 0.625
O 0.677 0.073 0.073
O 0.677 0.073 0.677
O 0.677 0.677 0.073
O 0.927 0.323 0.323
O 0.927 0.323 0.927
O 0.927 0.927 0.323

Values from the calculation:
Energy relative to the elements, uncorrected, eV/atom: -1.75



[2]
Ba8Cd2Rh after structural relaxation, computed with PBE.

a b c (Å): 12.877 12.877 9.490
angles (deg): 91.03 91.03 20.93
Fractional coordinates of all 11 atoms:
Ba 0.007 0.007 0.217
Ba 0.239 0.239 0.715
Ba 0.380 0.380 0.002
Ba 0.394 0.394 0.484
Ba 0.606 0.606 0.516
Ba 0.620 0.620 0.998
Ba 0.761 0.761 0.285
Ba 0.993 0.993 0.783
Cd 0.156 0.156 0.277
Cd 0.844 0.844 0.723
Rh 0.500 0.500 0.000

Values from the calculation:
Formation energy from the elements, eV per atom: -0.17
Excess energy over the best structure of this formula in the dataset, kcal/mol of atoms: 0.000



[3]
SmHo2Zn2 after structural relaxation, computed with PBE.

a b c (Å): 3.611 5.195 13.341
angles (deg): 90.00 97.79 90.00
Fractional coordinates of all 10 atoms:
Sm 0.144 0.250 0.287
Sm 0.856 0.750 0.713
Ho 0.046 0.750 0.093
Ho 0.232 0.750 0.465
Ho 0.768 0.250 0.535
Ho 0.954 0.250 0.907
Zn 0.360 0.250 0.720
Zn 0.454 0.750 0.906
Zn 0.546 0.250 0.094
Zn 0.640 0.750 0.280

Values from the calculation:
Formation energy from the elements, eV per atom: -0.26
Excess energy over the best structure of this formula in the dataset, kcal/mol of atoms: 0.000



[4]
Zn5Cu4 after structural relaxation, computed with PBE.

a b c (Å): 5.916 5.916 5.916
angles (deg): 95.91 95.91 142.57
Fractional coordinates of all 9 atoms:
Zn 0.000 0.000 0.000
Zn 0.331 0.331 0.661
Zn 0.331 0.669 0.000
Zn 0.669 0.331 0.000
Zn 0.669 0.669 0.339
Cu 0.000 0.336 0.336
Cu 0.000 0.664 0.664
Cu 0.336 0.000 0.336
Cu 0.664 0.000 0.664

Values from the calculation:
Formation energy from the elements, eV per atom: -0.06
Excess energy over the best structure of this formula in the dataset, kcal/mol of atoms: 0.293



[5]
Pm2CuTe3 after structural relaxation, computed with PBE.

a b c (Å): 9.386 9.386 9.386
angles (deg): 154.49 150.03 39.75
Fractional coordinates of all 6 atoms:
Pm 0.138 0.138 0.000
Pm 0.862 0.862 0.000
Cu 0.500 0.500 0.000
Te 0.000 0.500 0.500
Te 0.322 0.322 0.000
Te 0.678 0.678 0.000

Values from the calculation:
Energy relative to the elements, uncorrected, eV/atom: -0.98



[6]
La8C3Cl4F after structural relaxation, computed with PBE.

a b c (Å): 8.493 8.493 8.493
angles (deg): 54.08 54.08 54.08
Fractional coordinates of all 16 atoms:
La 0.217 0.740 0.740
La 0.232 0.232 0.232
La 0.260 0.260 0.783
La 0.260 0.783 0.260
La 0.740 0.217 0.740
La 0.740 0.740 0.217
La 0.768 0.768 0.768
La 0.783 0.260 0.260
C 0.000 0.000 0.500
C 0.000 0.500 0.000
C 0.500 0.000 0.000
Cl 0.000 0.000 0.000
Cl 0.000 0.500 0.500
Cl 0.500 0.000 0.500
Cl 0.500 0.500 0.000
F 0.500 0.500 0.500

Values from the calculation:
Energy relative to the elements, uncorrected, eV/atom: -1.30



| no. | DFT total energy (eV per atom) |
| --- | --- |
| 1 | -7.802 |
| 2 | -2.398 |
| 3 | -3.546 |
| 4 | -2.587 |
| 5 | -4.822 |
| 6 | -6.068 |